Entry from Alexandria: an optimized crystal structure of Zr2CdFeH (PBE).

abc: 4.6549 4.6549 3.6268
angles: 90.00 90.00 90.00
Last column: magnetic moment on the atom in μB.
Fractional coordinates of all 5 atoms:
Cd 0.5000 0.5000 0.5000  -0.02
Zr 0.0000 0.5000 0.0000  -0.18
Zr 0.5000 0.0000 0.0000  -0.18
H 0.0000 0.0000 0.0000  0.00
Fe 0.0000 0.0000 0.5000  1.85

Values from the calculation:
- uncorrected energy (eV per atom) = -6.0747
- symmetry = P4/mmm, No. 123
- V (Å³ per atom) = 15.717